# 1
Computed, not measured: CeGa4Cu2Ni after structural relaxation at the PBE-GGA level of DFT.

The structure in CIF format:
```
data_CeGa4Cu2Ni
_chemical_formula_sum 'Ce3 Ga12 Cu6 Ni3'
_cell_length_a 4.1721
_cell_length_b 4.1721
_cell_length_c 26.1011
_cell_angle_alpha 90.00
_cell_angle_beta 90.00
_cell_angle_gamma 120.00
_symmetry_space_group_name_H-M 'R -3 m'
_symmetry_Int_Tables_number 166
_symmetry_space_group_name_Hall '-R 3 2"'
loop_
_atom_site_label
_atom_site_fract_x
_atom_site_fract_y
_atom_site_fract_z
Ce1 0.0000 0.0000 0.0000
Ga1 0.0000 0.0000 0.1320
Ga2 0.0000 0.0000 0.4035
Cu1 0.0000 0.0000 0.2372
Ni1 0.0000 0.0000 0.5000
```

Values from the calculation:
**ρ**: 7658 kg/m³
**DOS(E_F)**: 0.93 states/eV/atom
**Magnetization**: 0.6 μB/f.u.
**Energy of formation from the pure elements**: -0.32 eV/atom

# 2
Computed, not measured: NdAg6Sn6 after structural relaxation at the PBE-GGA level of DFT.

The structure in CIF format:
```
data_NdAg6Sn6
_chemical_formula_sum 'Nd2 Ag12 Sn12'
_cell_length_a 5.9394
_cell_length_b 9.6530
_cell_length_c 10.2976
_cell_angle_alpha 90.00
_cell_angle_beta 90.00
_cell_angle_gamma 90.00
_symmetry_space_group_name_H-M 'I m m m'
_symmetry_Int_Tables_number 71
_symmetry_space_group_name_Hall '-I 2 2'
loop_
_atom_site_label
_atom_site_fract_x
_atom_site_fract_y
_atom_site_fract_z
Nd1 0.0000 0.0000 0.0000
Ag1 0.0000 0.2502 0.5000
Ag2 0.2500 0.2500 0.2500
Sn1 0.0000 0.0000 0.3329
Sn2 0.0000 0.3460 0.0000
Sn3 0.0000 0.5000 0.3364
```

Values from the calculation:
**ρ**: 8459 kg/m³
**DOS(E_F)**: 0.33 states/eV/atom
**Magnetization**: 0.0 μB/f.u.
**Energy of formation from the pure elements**: -0.13 eV/atom

# 3
Computed, not measured: NaAg3As after structural relaxation at the PBE-GGA level of DFT.

The structure in CIF format:
```
data_NaAg3As
_chemical_formula_sum 'Na1 Ag3 As1'
_cell_length_a 4.8764
_cell_length_b 4.8764
_cell_length_c 4.8764
_cell_angle_alpha 90.00
_cell_angle_beta 90.00
_cell_angle_gamma 90.00
_symmetry_space_group_name_H-M 'P m -3 m'
_symmetry_Int_Tables_number 221
_symmetry_space_group_name_Hall '-P 4 2 3'
loop_
_atom_site_label
_atom_site_fract_x
_atom_site_fract_y
_atom_site_fract_z
Na1 0.0000 0.0000 0.0000
Ag1 0.0000 0.0000 0.5000
As1 0.5000 0.5000 0.5000
```

Values from the calculation:
**ρ**: 6036 kg/m³
**DOS(E_F)**: 0.44 states/eV/atom
**Magnetization**: 0.0 μB/f.u.
**ΔE to the lowest computed polymorph**: 895 meV/atom
**Energy of formation from the pure elements**: 0.89 eV/atom

Which value of energy of formation from the pure elements does entry 3 give?
0.89 eV/atom

Which of these has the highest energy of formation from the pure elements?
NaAg3As